CoAs4Au | PBE-GGA | optimized geometry

The density of states at the Fermi level comes out at 5.00 states/eV/f.u. The energy of formation from the pure elements is 0.7407 eV/atom.

Cell lengths 7.7342, 7.7342, 7.7342 Å; angles 90.00, 90.00, 90.00 degrees
Closest atoms and distances in Å follow each position.
Space group F-43m (No. 216)
One atom of each set of equivalent atoms:
Co1 0.0000 0.0000 0.0000  12 As 3.21, 4 Au 3.35
As1 0.1244 0.1244 0.3756  6 As 2.72-2.75
Au1 0.2500 0.2500 0.7500  12 As 3.21, 4 Co 3.35